No. 1
Hg2IrRh: optimized geometry, GGA-PBE.

Summary:
- Space-group type: C2/m, No. 12
- E: -0.280 Ry per atom
- Relative energy among the computed polymorphs: 0.1012 eV per atom
- Energy of formation from the pure elements: 1.576 eV/f.u.

a b c (Å): 4.8777 4.8777 5.1445
angles (deg): 99.95 99.95 35.49
Last column: nearest neighbours and their distance in Å.
Positions (direct):
Hg 0.2496 0.2496 0.2489  3 Rh 2.85-2.86, 3 Ir 2.85-2.86, 6 Hg 2.96-2.98
Hg 0.7504 0.7504 0.7511  3 Rh 2.85-2.86, 3 Ir 2.85-2.86, 6 Hg 2.96-2.98
Ir 0.0000 0.0000 0.5000  6 Hg 2.85-2.86, 4 Rh 2.97, 2 Ir 2.97
Rh 0.5000 0.5000 0.0000  6 Hg 2.85-2.86, 4 Ir 2.97, 2 Rh 2.97

=====

No. 2
MgAl2InF8: optimized geometry, GGA-PBE.

Summary:
- ΔE_f (raw): -3497.2 kJ/mol of formula units
- Space-group type: R-3, No. 148
- E: -0.386 Ry per atom

a b c (Å): 9.1441 9.1441 9.1441
angles (deg): 34.98 34.98 34.98
Last column: nearest neighbours and their distance in Å.
Positions (direct):
Mg 0.0000 0.0000 0.0000  6 F 1.99
Al 0.2615 0.2615 0.2615  4 F 1.68-1.71
Al 0.7385 0.7385 0.7385  4 F 1.68-1.71
In 0.5000 0.5000 0.5000  6 F 3.26
F 0.0987 0.6170 0.1476  1 Al 1.71
F 0.1476 0.0987 0.6170  1 Al 1.71
F 0.1961 0.1961 0.1961  1 Al 1.68
F 0.3830 0.8524 0.9013  1 Al 1.71
F 0.6170 0.1476 0.0987  1 Al 1.71
F 0.8039 0.8039 0.8039  1 Al 1.68
F 0.8524 0.9013 0.3830  1 Al 1.71
F 0.9013 0.3830 0.8524  1 Al 1.71

=====

No. 3
Pr2Tl3CrS6: optimized geometry, GGA-PBE.

Summary:
- ΔE_f (raw): -1256.2 kJ/mol of formula units
- Space-group type: C2/m, No. 12
- E: -0.392 Ry per atom

a b c (Å): 6.9554 6.9554 7.7982
angles (deg): 98.50 98.50 119.78
Last column: nearest neighbours and their distance in Å.
Positions (direct):
Pr 0.1665 0.8335 0.0000  6 S 2.85-2.89
Pr 0.8335 0.1665 0.0000  6 S 2.85-2.89
Tl 0.0000 0.0000 0.5000  6 S 3.18-3.40
Tl 0.3270 0.6730 0.5000  6 S 3.17-3.42
Tl 0.6730 0.3270 0.5000  6 S 3.17-3.42
Cr 0.5000 0.5000 0.0000  6 S 2.50-2.56
S 0.1414 0.4359 0.8087  1 Cr 2.50
S 0.2713 0.2713 0.2031  1 Cr 2.56
S 0.4359 0.1414 0.8087  1 Cr 2.50
S 0.5641 0.8586 0.1913  1 Cr 2.50
S 0.7287 0.7287 0.7969  1 Cr 2.56
S 0.8586 0.5641 0.1913  1 Cr 2.50